MnTl2AsO4, relaxed, DFT PBE+U; D(E_F) = 3.5 states/eV per cell; total magnetization = 4.81 μB/f.u.; VASP energy = -88.7 eV per cell
1.0
0.000 5.700 10.893
2.757 0.000 10.893
2.757 5.700 0.000
Mn Tl As O
2 4 2 8
direct
0.125 0.125 0.125
0.875 0.875 0.875
0.027 0.027 0.723
0.277 0.277 0.973
0.723 0.723 0.027
0.973 0.973 0.277
0.375 0.375 0.375
0.625 0.625 0.625
0.046 0.618 0.536
0.300 0.536 0.618
0.382 0.954 0.700
0.464 0.700 0.954
0.536 0.300 0.046
0.618 0.046 0.300
0.700 0.464 0.382
0.954 0.382 0.464